(1)
VASP calculation (PBE) on a geometry-optimized YTc2Os2 structure.

Unit cell a=4.234 b=4.234 c=6.011 alpha=69.38 beta=69.38 gamma=90.00
Atoms (fractional coordinates):
Y  0.000  0.000  0.000
Os  0.382  0.382  0.235
Os  0.618  0.618  0.765
Tc  0.750  0.250  0.500
Tc  0.250  0.750  0.500

Results
Magnetization, μB/f.u.: 0.00
D(E_F), states/eV/f.u.: 4.9
Formation enthalpy at 0 K, meV per atom: -33
ΔE to the lowest computed polymorph, eV/atom: 0.0000

---

(2)
VASP calculation (PBE) on a geometry-optimized YTcOs4 structure.

Unit cell a=5.219 b=5.219 c=5.219 alpha=60.00 beta=60.00 gamma=60.00
Atoms (fractional coordinates):
Y  0.000  0.000  0.000
Tc  0.250  0.250  0.250
Os  0.625  0.625  0.126
Os  0.625  0.126  0.625
Os  0.625  0.625  0.625
Os  0.126  0.625  0.625

Results
Magnetization, μB/f.u.: 0.00
D(E_F), states/eV/f.u.: 8.0
Formation enthalpy at 0 K, meV per atom: 248

---

(3)
VASP calculation (PBE) on a geometry-optimized Y2TcOs structure.

Unit cell a=4.785 b=4.785 c=4.785 alpha=60.00 beta=60.00 gamma=60.00
Atoms (fractional coordinates):
Os  0.500  0.500  0.500
Tc  0.750  0.750  0.750
Y  0.000  0.000  0.000
Y  0.250  0.250  0.250

Results
Magnetization, μB/f.u.: 0.00
D(E_F), states/eV/f.u.: 2.6
Formation enthalpy at 0 K, meV per atom: 267